Record 1
# PrDyLuAg (PBE, relaxed)
# - ΔE_f (eV/f.u.) = 0.19
# - space group = No. 216
data_PrDyLuAg
_chemical_formula_sum 'Pr1 Dy1 Lu1 Ag1'
_cell_length_a 5.418
_cell_length_b 5.418
_cell_length_c 5.418
_cell_angle_alpha 60.00
_cell_angle_beta 60.00
_cell_angle_gamma 60.00
_space_group_name_H-M_alt 'P 1'
_space_group_IT_number 1
loop_
_space_group_symop_operation_xyz
'x,y,z'
loop_
_atom_site_label
_atom_site_fract_x
_atom_site_fract_y
_atom_site_fract_z
Pr1 0.250 0.250 0.250
Dy1 0.750 0.750 0.750
Ag1 0.000 0.000 0.000
Lu1 0.500 0.500 0.500

---

Record 2
# TiVHgPd2 (PBE, relaxed)
# - ΔE_f (eV/f.u.) = 5.05
# - space group = No. 123
data_TiVHgPd2
_chemical_formula_sum 'Ti1 V1 Hg1 Pd2'
_cell_length_a 4.575
_cell_length_b 5.132
_cell_length_c 4.575
_cell_angle_alpha 90.00
_cell_angle_beta 90.00
_cell_angle_gamma 90.00
_space_group_name_H-M_alt 'P 1'
_space_group_IT_number 1
loop_
_space_group_symop_operation_xyz
'x,y,z'
loop_
_atom_site_label
_atom_site_fract_x
_atom_site_fract_y
_atom_site_fract_z
Pd1 0.000 0.000 0.500
Ti1 0.000 0.000 0.000
V1 0.500 0.500 0.500
Hg1 0.000 0.500 0.000
Pd2 0.500 0.000 0.000

---

Record 3
# La3MgAl2O9 (PBE, relaxed)
# - ΔE_f (raw) (eV per atom) = -3.069
# - space group = No. 164
data_La3MgAl2O9
_chemical_formula_sum 'La3 Mg1 Al2 O9'
_cell_length_a 5.443
_cell_length_b 5.443
_cell_length_c 6.701
_cell_angle_alpha 90.00
_cell_angle_beta 90.00
_cell_angle_gamma 120.00
_space_group_name_H-M_alt 'P 1'
_space_group_IT_number 1
loop_
_space_group_symop_operation_xyz
'x,y,z'
loop_
_atom_site_label
_atom_site_fract_x
_atom_site_fract_y
_atom_site_fract_z
O1 0.500 0.000 0.000
Al1 0.667 0.333 0.838
O2 0.172 0.828 0.325
O3 0.828 0.172 0.675
La1 0.000 0.000 0.000
Al2 0.333 0.667 0.162
O4 0.656 0.828 0.325
O5 0.500 0.500 0.000
O6 0.000 0.500 0.000
Mg1 0.000 0.000 0.500
La2 0.667 0.333 0.339
O7 0.344 0.172 0.675
La3 0.333 0.667 0.661
O8 0.828 0.656 0.675
O9 0.172 0.344 0.325

---

Record 4
# Ac2Pr3Nd7 (PBE, relaxed)
# - ΔE_f (eV/f.u.) = 0.97
# - excess energy over the best structure of this formula in the dataset (eV per atom) = 0.000
# - space group = No. 10
data_Ac2Pr3Nd7
_chemical_formula_sum 'Ac2 Pr3 Nd7'
_cell_length_a 3.698
_cell_length_b 6.604
_cell_length_c 18.851
_cell_angle_alpha 76.20
_cell_angle_beta 90.00
_cell_angle_gamma 90.00
_space_group_name_H-M_alt 'P 1'
_space_group_IT_number 1
loop_
_space_group_symop_operation_xyz
'x,y,z'
loop_
_atom_site_label
_atom_site_fract_x
_atom_site_fract_y
_atom_site_fract_z
Pr1 0.000 0.887 0.662
Pr2 0.500 0.500 0.000
Nd1 0.000 0.000 0.000
Nd2 0.000 0.438 0.839
Pr3 0.000 0.113 0.338
Nd3 0.500 0.240 0.500
Nd4 0.500 0.064 0.164
Ac1 0.500 0.615 0.327
Ac2 0.500 0.385 0.673
Nd5 0.000 0.562 0.161
Nd6 0.500 0.936 0.836
Nd7 0.500 0.760 0.500

---

Record 5
# Rb2CuOsO6 (PBE, relaxed)
# - ΔE_f (raw) (eV per atom) = -1.018
# - space group = No. 164
data_Rb2CuOsO6
_chemical_formula_sum 'Rb2 Cu1 Os1 O6'
_cell_length_a 5.130
_cell_length_b 6.180
_cell_length_c 6.180
_cell_angle_alpha 120.00
_cell_angle_beta 90.00
_cell_angle_gamma 90.00
_space_group_name_H-M_alt 'P 1'
_space_group_IT_number 1
loop_
_space_group_symop_operation_xyz
'x,y,z'
loop_
_atom_site_label
_atom_site_fract_x
_atom_site_fract_y
_atom_site_fract_z
Rb1 0.728 0.667 0.333
O1 0.221 0.858 0.142
Os1 0.000 0.000 0.000
O2 0.779 0.142 0.858
O3 0.221 0.858 0.717
Rb2 0.272 0.333 0.667
O4 0.779 0.717 0.858
O5 0.221 0.283 0.142
Cu1 0.500 0.000 0.000
O6 0.779 0.142 0.283

---

Record 6
# SrZn3Ni (PBE, relaxed)
# - ΔE_f (eV/f.u.) = -0.99
# - excess energy over the best structure of this formula in the dataset (eV per atom) = 0.006
# - space group = No. 63
data_SrZn3Ni
_chemical_formula_sum 'Sr2 Zn6 Ni2'
_cell_length_a 5.934
_cell_length_b 5.934
_cell_length_c 6.217
_cell_angle_alpha 90.00
_cell_angle_beta 90.00
_cell_angle_gamma 63.59
_space_group_name_H-M_alt 'P 1'
_space_group_IT_number 1
loop_
_space_group_symop_operation_xyz
'x,y,z'
loop_
_atom_site_label
_atom_site_fract_x
_atom_site_fract_y
_atom_site_fract_z
Zn1 0.563 0.200 0.302
Sr1 0.043 0.245 0.052
Ni1 0.646 0.849 0.052
Zn2 0.998 0.765 0.802
Zn3 0.563 0.200 0.802
Sr2 0.518 0.720 0.552
Zn4 0.998 0.765 0.302
Ni2 0.915 0.117 0.552
Zn5 0.157 0.359 0.552
Zn6 0.404 0.607 0.052